A relaxed structure of NaAc2Cd9. Source: Alexandria, functional PBE.

Cell: 6.2368 6.2368 29.2651 Å, 90.00 90.00 120.00°
Space group R-3m (No. 166, hexagonal axes)
Unique sites:
Na 0.0000 0.0000 0.0000 (multiplicity 3)
Ac 0.0000 0.0000 0.1414 (multiplicity 6)
Cd 0.0000 0.0000 0.3351 (multiplicity 6)
Cd 0.0000 0.0000 0.5000 (multiplicity 3)
Cd 0.0060 0.5030 0.9170 (multiplicity 18)

Summary:
energy of formation	-0.16	eV/atom
crystal system	trigonal

A relaxed structure of Na3AcCd3. Source: Alexandria, functional PBE.

Cell: 7.989 7.989 7.989 Å, 90.00 90.00 90.00°
Space group Pm-3n (No. 223)
Unique sites:
Na 0.000 0.250 0.500 (multiplicity 6)
Ac 0.000 0.000 0.000 (multiplicity 2)
Cd 0.000 0.500 0.250 (multiplicity 6)

Summary:
energy of formation	0.35	eV/atom
crystal system	cubic

A relaxed structure of NaAc2Cd4. Source: Alexandria, functional PBE.

Cell: 9.055 5.233 9.410 Å, 90.00 108.88 90.00°
Space group C2/m (No. 12)
Unique sites:
Na 0.000 0.000 0.000 (multiplicity 2)
Ac 0.071 0.500 0.712 (multiplicity 4)
Cd 0.175 0.000 0.525 (multiplicity 4)
Cd 0.199 0.500 0.095 (multiplicity 4)

Summary:
energy of formation	-0.25	eV/atom
crystal system	monoclinic

A relaxed structure of Na3AcCd8. Source: Alexandria, functional PBE.

Cell: 6.0205 6.0205 30.2654 Å, 90.00 90.00 120.00°
Space group R3m (No. 160, hexagonal axes)
Unique sites:
Na 0.0000 0.0000 0.0000 (multiplicity 3)
Na 0.0000 0.0000 0.1207 (multiplicity 3)
Na 0.0000 0.0000 0.6294 (multiplicity 3)
Ac 0.0000 0.0000 0.5021 (multiplicity 3)
Cd 0.0000 0.0000 0.3141 (multiplicity 3)
Cd 0.0000 0.0000 0.8129 (multiplicity 3)
Cd 0.9997 0.4999 0.5648 (multiplicity 9)
Cd 0.1673 0.3346 0.3961 (multiplicity 9)

Summary:
excess energy over the best structure of this formula in the dataset	0.07	eV/f.u.
energy of formation	-0.16	eV/atom
crystal system	trigonal

A relaxed structure of NaAc2Cd. Source: Alexandria, functional PBE.

Cell: 8.311 8.311 8.311 Å, 90.00 90.00 90.00°
Space group Fm-3m (No. 225)
Unique sites:
Na 0.000 0.000 0.000 (multiplicity 4)
Ac 0.250 0.250 0.250 (multiplicity 8)
Cd 0.000 0.000 0.500 (multiplicity 4)

Summary:
excess energy over the best structure of this formula in the dataset	0.12	eV/f.u.
energy of formation	-0.03	eV/atom
crystal system	cubic

A relaxed structure of NaAc2Cd16. Source: Alexandria, functional PBE.

Cell: 10.2854 10.2854 15.2103 Å, 90.00 90.00 120.00°
Space group R3m (No. 160, hexagonal axes)
Unique sites:
Na 0.0000 0.0000 0.0000 (multiplicity 3)
Ac 0.0000 0.0000 0.2471 (multiplicity 3)
Ac 0.0000 0.0000 0.5701 (multiplicity 3)
Cd 0.0000 0.0000 0.7968 (multiplicity 3)
Cd 0.0146 0.5073 0.0588 (multiplicity 9)
Cd 0.0375 0.3702 0.5765 (multiplicity 18)
Cd 0.1671 0.3343 0.7435 (multiplicity 9)
Cd 0.1701 0.3403 0.0947 (multiplicity 9)

Summary:
energy of formation	-0.19	eV/atom
crystal system	trigonal

A relaxed structure of NaAc2Cd5. Source: Alexandria, functional PBE.

Cell: 5.442 5.442 15.550 Å, 90.00 90.00 90.00°
Space group I4/mmm (No. 139)
Unique sites:
Na 0.000 0.000 0.000 (multiplicity 2)
Ac 0.000 0.000 0.259 (multiplicity 4)
Cd 0.000 0.000 0.500 (multiplicity 2)
Cd 0.000 0.500 0.106 (multiplicity 8)

Summary:
excess energy over the best structure of this formula in the dataset	0.00	eV/f.u.
energy of formation	-0.17	eV/atom
crystal system	tetragonal

A relaxed structure of NaAc2Cd3. Source: Alexandria, functional PBE.

Cell: 5.6466 5.6466 13.8253 Å, 90.00 90.00 120.00°
Space group P-3m1 (No. 164)
Unique sites:
Na 0.3333 0.6667 0.1643 (multiplicity 2)
Ac 0.0000 0.0000 0.0000 (multiplicity 1)
Ac 0.0000 0.0000 0.5000 (multiplicity 1)
Ac 0.3333 0.6667 0.6766 (multiplicity 2)
Cd 0.0000 0.0000 0.2453 (multiplicity 2)
Cd 0.3333 0.6667 0.4122 (multiplicity 2)
Cd 0.3333 0.6667 0.9236 (multiplicity 2)

Summary:
energy of formation	-0.22	eV/atom
crystal system	trigonal

A relaxed structure of NaAcCd17. Source: Alexandria, functional PBE.

Cell: 10.2518 10.2518 15.1113 Å, 90.00 90.00 120.00°
Space group R3m (No. 160, hexagonal axes)
Unique sites:
Na 0.0000 0.0000 0.0000 (multiplicity 3)
Ac 0.0000 0.0000 0.3230 (multiplicity 3)
Cd 0.0000 0.0000 0.5638 (multiplicity 3)
Cd 0.0000 0.0000 0.7680 (multiplicity 3)
Cd 0.0007 0.5004 0.5122 (multiplicity 9)
Cd 0.0037 0.3004 0.6591 (multiplicity 18)
Cd 0.0153 0.5076 0.1559 (multiplicity 9)
Cd 0.0267 0.5134 0.8080 (multiplicity 9)

Summary:
energy of formation	-0.11	eV/atom
crystal system	trigonal

A relaxed structure of NaAcCd11. Source: Alexandria, functional PBE.

Cell: 6.071 14.226 7.857 Å, 90.00 112.51 90.00°
Space group C2/m (No. 12)
Unique sites:
Na 0.000 0.000 0.000 (multiplicity 2)
Ac 0.000 0.500 0.500 (multiplicity 2)
Cd 0.000 0.500 0.000 (multiplicity 2)
Cd 0.108 0.108 0.716 (multiplicity 8)
Cd 0.172 0.322 0.852 (multiplicity 8)
Cd 0.250 0.250 0.500 (multiplicity 4)

Summary:
energy of formation	-0.12	eV/atom
crystal system	monoclinic

A relaxed structure of NaAc6Cd5. Source: Alexandria, functional PBE.

Cell: 18.322 8.214 5.797 Å, 90.00 108.28 90.00°
Space group C2/m (No. 12)
Unique sites:
Na 0.000 0.000 0.000 (multiplicity 2)
Ac 0.000 0.261 0.500 (multiplicity 4)
Ac 0.171 0.255 0.171 (multiplicity 8)
Cd 0.000 0.500 0.000 (multiplicity 2)
Cd 0.159 0.000 0.659 (multiplicity 4)
Cd 0.167 0.500 0.667 (multiplicity 4)

Summary:
energy of formation	-0.22	eV/atom
crystal system	monoclinic

A relaxed structure of NaAc5Cd4. Source: Alexandria, functional PBE.

Cell: 4.110 4.110 20.833 Å, 90.00 90.00 90.00°
Space group P4/mmm (No. 123)
Unique sites:
Na 0.000 0.000 0.000 (multiplicity 1)
Ac 0.500 0.500 0.116 (multiplicity 2)
Ac 0.500 0.500 0.306 (multiplicity 2)
Ac 0.500 0.500 0.500 (multiplicity 1)
Cd 0.000 0.000 0.208 (multiplicity 2)
Cd 0.000 0.000 0.402 (multiplicity 2)

Summary:
energy of formation	-0.20	eV/atom
crystal system	tetragonal

A relaxed structure of NaAc2Cd. Source: Alexandria, functional PBE.

Cell: 3.8751 3.8751 38.4980 Å, 90.00 90.00 120.00°
Space group R-3m (No. 166, hexagonal axes)
Unique sites:
Na 0.0000 0.0000 0.0000 (multiplicity 3)
Ac 0.0000 0.0000 0.0987 (multiplicity 6)
Cd 0.0000 0.0000 0.5000 (multiplicity 3)

Summary:
excess energy over the best structure of this formula in the dataset	0.61	eV/f.u.
energy of formation	0.09	eV/atom
crystal system	trigonal

A relaxed structure of Na5Ac2Cd12. Source: Alexandria, functional PBE.

Cell: 10.4337 10.4337 15.6159 Å, 90.00 90.00 120.00°
Space group R-3m (No. 166, hexagonal axes)
Unique sites:
Na 0.0000 0.0000 0.0972 (multiplicity 6)
Na 0.0000 0.5000 0.5000 (multiplicity 9)
Ac 0.0000 0.0000 0.3499 (multiplicity 6)
Cd 0.0000 0.3029 0.0000 (multiplicity 18)
Cd 0.0118 0.5059 0.1489 (multiplicity 18)

Summary:
energy of formation	-0.14	eV/atom
crystal system	trigonal

A relaxed structure of NaAcNdCd. Source: Alexandria, functional PBE.

Cell: 8.091 8.091 8.091 Å, 90.00 90.00 90.00°
Space group F-43m (No. 216)
Unique sites:
Na 0.000 0.000 0.000 (multiplicity 4)
Ac 0.250 0.250 0.250 (multiplicity 4)
Nd 0.250 0.250 0.750 (multiplicity 4)
Cd 0.000 0.000 0.500 (multiplicity 4)

Summary:
energy of formation	0.00	eV/atom
crystal system	cubic

A relaxed structure of Na2AcCdO4. Source: Alexandria, functional PBE.

Cell: 5.939 3.685 6.022 Å, 90.00 108.04 90.00°
Space group P2/m (No. 10)
Unique sites:
Na 0.000 0.000 0.000 (multiplicity 1)
Na 0.500 0.500 0.000 (multiplicity 1)
Ac 0.000 0.500 0.500 (multiplicity 1)
Cd 0.500 0.000 0.500 (multiplicity 1)
O 0.249 0.000 0.730 (multiplicity 2)
O 0.260 0.500 0.268 (multiplicity 2)

Summary:
electronic total energy	-41.3	eV/cell
crystal system	monoclinic

A relaxed structure of NaAcCdPb. Source: Alexandria, functional PBE.

Cell: 7.972 7.972 7.972 Å, 90.00 90.00 90.00°
Space group F-43m (No. 216)
Unique sites:
Na 0.000 0.000 0.000 (multiplicity 4)
Ac 0.000 0.000 0.500 (multiplicity 4)
Cd 0.250 0.250 0.750 (multiplicity 4)
Pb 0.250 0.250 0.250 (multiplicity 4)

Summary:
energy of formation	-0.33	eV/atom
crystal system	cubic

A relaxed structure of NaAcCdPd. Source: Alexandria, functional PBE.

Cell: 7.571 7.571 7.571 Å, 90.00 90.00 90.00°
Space group F-43m (No. 216)
Unique sites:
Na 0.000 0.000 0.000 (multiplicity 4)
Ac 0.000 0.000 0.500 (multiplicity 4)
Cd 0.250 0.250 0.750 (multiplicity 4)
Pd 0.250 0.250 0.250 (multiplicity 4)

Summary:
energy of formation	-0.26	eV/atom
crystal system	cubic

A relaxed structure of NaAcPmCd. Source: Alexandria, functional PBE.

Cell: 8.069 8.069 8.069 Å, 90.00 90.00 90.00°
Space group F-43m (No. 216)
Unique sites:
Na 0.000 0.000 0.000 (multiplicity 4)
Ac 0.250 0.250 0.750 (multiplicity 4)
Pm 0.250 0.250 0.250 (multiplicity 4)
Cd 0.000 0.000 0.500 (multiplicity 4)

Summary:
energy of formation	0.01	eV/atom
crystal system	cubic

A relaxed structure of NaAcCdRh. Source: Alexandria, functional PBE.

Cell: 7.275 7.275 7.275 Å, 90.00 90.00 90.00°
Space group F-43m (No. 216)
Unique sites:
Na 0.000 0.000 0.000 (multiplicity 4)
Ac 0.250 0.250 0.750 (multiplicity 4)
Cd 0.250 0.250 0.250 (multiplicity 4)
Rh 0.000 0.000 0.500 (multiplicity 4)

Summary:
energy of formation	-0.15	eV/atom
crystal system	cubic